Record 1
Sr2CuW, single point on PBEsol structure, DFT SCAN; relative energy among the computed polymorphs = 126 meV per atom; DOS(E_F) = 3.34 states/eV/cell; DFT total energy = -124.33 eV per cell; SG = R-3m (166)
1.0
1.6256 0.9386 10.0356
-1.6256 0.9386 10.0356
0.0000 -1.8771 10.0356
Sr Cu W
2 1 1
Direct
0.2470 0.2470 0.2470 Sr
0.7530 0.7530 0.7530 Sr
0.5000 0.5000 0.5000 Cu
0.0000 0.0000 0.0000 W

=====

Record 2
Sr3CuW, single point on PBEsol structure, DFT SCAN; DOS(E_F) = 2.69 states/eV/cell; DFT total energy = -146.05 eV per cell; SG = Pm-3m (221)
1.0
5.6406 0.0000 0.0000
0.0000 5.6406 0.0000
0.0000 0.0000 5.6406
Sr Cu W
3 1 1
Direct
0.0000 0.0000 0.5000 Sr
0.0000 0.5000 0.0000 Sr
0.5000 0.0000 0.0000 Sr
0.0000 0.0000 0.0000 Cu
0.5000 0.5000 0.5000 W

=====

Record 3
SrCuW2, single point on PBEsol structure, DFT SCAN; DOS(E_F) = 3.80 states/eV/cell; DFT total energy = -172.23 eV per cell; SG = F-43m (216)
1.0
0.0000 3.2745 3.2745
3.2745 0.0000 3.2745
3.2745 3.2745 0.0000
Sr Cu W
1 1 2
Direct
0.0000 0.0000 0.0000 Sr
0.7500 0.7500 0.7500 Cu
0.2500 0.2500 0.2500 W
0.5000 0.5000 0.5000 W

=====

Record 4
Sr2CuW, single point on PBEsol structure, DFT SCAN; relative energy among the computed polymorphs = 0 meV per atom; DOS(E_F) = 3.48 states/eV/cell; DFT total energy = -124.83 eV per cell; SG = Cmmm (65)
1.0
3.9755 -3.9882 0.0000
3.9755 3.9882 0.0000
0.0000 0.0000 3.0173
Sr Cu W
2 1 1
Direct
0.0000 0.5000 0.0000 Sr
0.5000 0.0000 0.0000 Sr
0.0000 0.0000 0.5000 Cu
0.5000 0.5000 0.5000 W

=====

Record 5
SrCu2W2, single point on PBEsol structure, DFT SCAN; DOS(E_F) = 6.97 states/eV/cell; DFT total energy = -187.09 eV per cell; SG = I4/mmm (139)
1.0
-2.3020 2.3020 4.5337
2.3020 -2.3020 4.5337
2.3020 2.3020 -4.5337
Sr Cu W
1 2 2
Direct
0.0000 0.0000 0.0000 Sr
0.2500 0.7500 0.5000 Cu
0.7500 0.2500 0.5000 Cu
0.3700 0.3700 0.0000 W
0.6300 0.6300 0.0000 W

=====

Record 6
SrCuW, single point on PBEsol structure, DFT SCAN; relative energy among the computed polymorphs = 0 meV per atom; DOS(E_F) = 4.80 states/eV/cell; DFT total energy = -101.40 eV per cell; SG = F-43m (216)
1.0
0.0000 3.2126 3.2126
3.2126 0.0000 3.2126
3.2126 3.2126 0.0000
Sr Cu W
1 1 1
Direct
0.0000 0.0000 0.0000 Sr
0.5000 0.5000 0.5000 Cu
0.7500 0.7500 0.7500 W

=====

Record 7
SrYCu2, single point on PBEsol structure, DFT SCAN; relative energy among the computed polymorphs = 0 meV per atom; DOS(E_F) = 3.55 states/eV/cell; DFT total energy = -81.01 eV per cell; SG = P2/m (10)
1.0
3.5588 0.0000 0.0000
0.0000 3.5574 0.0000
-0.0073 0.0000 7.1281
Sr Y Cu
1 1 2
Direct
0.0000 0.0000 0.0000 Sr
0.0000 0.0000 0.5000 Y
0.4996 0.5000 0.3028 Cu
0.5004 0.5000 0.6972 Cu

=====

Record 8
Sr4YCu, single point on PBEsol structure, DFT SCAN; DOS(E_F) = 10.20 states/eV/cell; DFT total energy = -127.37 eV per cell; SG = F-43m (216)
1.0
0.0000 5.0117 5.0117
5.0117 0.0000 5.0117
5.0117 5.0117 0.0000
Sr Y Cu
4 1 1
Direct
0.1251 0.1251 0.1251 Sr
0.1251 0.1251 0.6248 Sr
0.1251 0.6248 0.1251 Sr
0.6248 0.1251 0.1251 Sr
0.5000 0.5000 0.5000 Y
0.7500 0.7500 0.7500 Cu

=====

Record 9
SrYCu2, single point on PBEsol structure, DFT SCAN; relative energy among the computed polymorphs = 113 meV per atom; DOS(E_F) = 3.14 states/eV/cell; DFT total energy = -80.56 eV per cell; SG = Fm-3m (225)
1.0
0.0000 3.5327 3.5327
3.5327 0.0000 3.5327
3.5327 3.5327 0.0000
Sr Y Cu
1 1 2
Direct
0.0000 0.0000 0.0000 Sr
0.5000 0.5000 0.5000 Y
0.2500 0.2500 0.2500 Cu
0.7500 0.7500 0.7500 Cu

=====

Record 10
SrZn2Cu, single point on PBEsol structure, DFT SCAN; DOS(E_F) = 1.71 states/eV/cell; DFT total energy = -65.43 eV per cell; SG = R-3m (166)
1.0
2.1192 1.2235 5.4159
-2.1192 1.2235 5.4159
0.0000 -2.4471 5.4159
Sr Zn Cu
1 2 1
Direct
0.0000 0.0000 0.0000 Sr
0.1931 0.1931 0.1931 Zn
0.8069 0.8069 0.8069 Zn
0.5000 0.5000 0.5000 Cu

=====

Record 11
SrZn2Cu, single point on PBEsol structure, DFT SCAN; DOS(E_F) = 1.57 states/eV/cell; DFT total energy = -65.47 eV per cell; SG = R3m (160)
1.0
2.1293 1.2293 5.3688
-2.1293 1.2293 5.3688
0.0000 -2.4587 5.3688
Sr Zn Cu
1 2 1
Direct
0.0000 0.0000 0.0000 Sr
0.1909 0.1909 0.1909 Zn
0.4894 0.4894 0.4894 Zn
0.8105 0.8105 0.8105 Cu

=====

Record 12
SrZr2Cu, single point on PBEsol structure, DFT SCAN; relative energy among the computed polymorphs = 87 meV per atom; DOS(E_F) = 5.97 states/eV/cell; DFT total energy = -96.07 eV per cell; SG = Fm-3m (225)
1.0
0.0000 3.4924 3.4924
3.4924 0.0000 3.4924
3.4924 3.4924 0.0000
Sr Zr Cu
1 2 1
Direct
0.0000 0.0000 0.0000 Sr
0.2500 0.2500 0.2500 Zr
0.7500 0.7500 0.7500 Zr
0.5000 0.5000 0.5000 Cu

=====

Record 13
SrZr2Cu, single point on PBEsol structure, DFT SCAN; relative energy among the computed polymorphs = 0 meV per atom; DOS(E_F) = 4.79 states/eV/cell; DFT total energy = -96.42 eV per cell; SG = I-4m2 (119)
1.0
-2.2443 2.2443 4.4014
2.2443 -2.2443 4.4014
2.2443 2.2443 -4.4014
Sr Zr Cu
1 2 1
Direct
0.0000 0.0000 0.0000 Sr
0.5000 0.5000 0.0000 Zr
0.7500 0.2500 0.5000 Zr
0.2500 0.7500 0.5000 Cu

=====

Record 14
SrZrCu2, single point on PBEsol structure, DFT SCAN; relative energy among the computed polymorphs = 134 meV per atom; DOS(E_F) = 2.80 states/eV/cell; DFT total energy = -82.48 eV per cell; SG = P4mm (99)
1.0
3.2737 0.0000 0.0000
0.0000 3.2737 0.0000
0.0000 0.0000 7.6193
Sr Zr Cu
1 1 2
Direct
0.0000 0.0000 0.0000 Sr
0.5000 0.5000 0.3780 Zr
0.0000 0.0000 0.5870 Cu
0.5000 0.5000 0.7226 Cu

=====

Record 15
SrZrCu2, single point on PBEsol structure, DFT SCAN; relative energy among the computed polymorphs = 0 meV per atom; DOS(E_F) = 3.59 states/eV/cell; DFT total energy = -83.01 eV per cell; SG = R3m (160)
1.0
2.0977 1.2111 6.1324
-2.0977 1.2111 6.1324
0.0000 -2.4223 6.1324
Sr Zr Cu
1 1 2
Direct
0.0000 0.0000 0.0000 Sr
0.1824 0.1824 0.1824 Zr
0.4529 0.4529 0.4529 Cu
0.7877 0.7877 0.7877 Cu

=====

Record 16
SrZrCu2, single point on PBEsol structure, DFT SCAN; relative energy among the computed polymorphs = 394 meV per atom; DOS(E_F) = 0.04 states/eV/cell; DFT total energy = -81.44 eV per cell; SG = F-43m (216)
1.0
0.0000 3.2979 3.2979
3.2979 0.0000 3.2979
3.2979 3.2979 0.0000
Sr Zr Cu
1 1 2
Direct
0.0000 0.0000 0.0000 Sr
0.7500 0.7500 0.7500 Zr
0.2500 0.2500 0.2500 Cu
0.5000 0.5000 0.5000 Cu

=====

Record 17
Ta3Cu2, single point on PBEsol structure, DFT SCAN; DOS(E_F) = 3.25 states/eV/cell; DFT total energy = -228.01 eV per cell; SG = P-3m1 (164)
1.0
4.2327 0.0000 0.0000
-2.1163 3.6656 0.0000
0.0000 0.0000 5.2454
Ta Cu
3 2
Direct
0.0000 0.0000 0.0000 Ta
0.3333 0.6667 0.3566 Ta
0.6667 0.3333 0.6434 Ta
0.3333 0.6667 0.8539 Cu
0.6667 0.3333 0.1461 Cu

=====

Record 18
TaCu5, single point on PBEsol structure, DFT SCAN; DOS(E_F) = 3.27 states/eV/cell; DFT total energy = -142.23 eV per cell; SG = P4/mmm (123)
1.0
2.7044 0.0000 0.0000
0.0000 2.7044 0.0000
0.0000 0.0000 10.1765
Ta Cu
1 5
Direct
0.0000 0.0000 0.0000 Ta
0.0000 0.0000 0.3459 Cu
0.0000 0.0000 0.6541 Cu
0.5000 0.5000 0.1908 Cu
0.5000 0.5000 0.5000 Cu
0.5000 0.5000 0.8092 Cu

=====

Record 19
Ta3Cu2, single point on PBEsol structure, DFT SCAN; DOS(E_F) = 3.79 states/eV/cell; DFT total energy = -228.76 eV per cell; SG = R-3m (166)
1.0
1.3933 0.8044 11.6422
-1.3933 0.8044 11.6422
0.0000 -1.6089 11.6422
Ta Cu
3 2
Direct
0.0000 0.0000 0.0000 Ta
0.2037 0.2037 0.2037 Ta
0.7963 0.7963 0.7963 Ta
0.3980 0.3980 0.3980 Cu
0.6020 0.6020 0.6020 Cu

=====

Record 20
Ta4Cu, single point on PBEsol structure, DFT SCAN; DOS(E_F) = 5.28 states/eV/cell; DFT total energy = -280.96 eV per cell; SG = I4/m (87)
1.0
-3.5197 3.5197 1.6830
3.5197 -3.5197 1.6830
3.5197 3.5197 -1.6830
Ta Cu
4 1
Direct
0.0911 0.2959 0.3870 Ta
0.2959 0.9089 0.2048 Ta
0.7041 0.0911 0.7952 Ta
0.9089 0.7041 0.6130 Ta
0.5000 0.5000 0.0000 Cu

=====

Record 21
TaCu, single point on PBEsol structure, DFT SCAN; DOS(E_F) = 2.06 states/eV/cell; DFT total energy = -162.99 eV per cell; SG = C2/m (12)
1.0
5.0391 -1.4150 0.0000
5.0391 1.4150 0.0000
-2.1024 0.0000 4.1109
Ta Cu
2 2
Direct
0.1158 0.1158 0.3650 Ta
0.8842 0.8842 0.6350 Ta
0.3590 0.3590 0.1103 Cu
0.6410 0.6410 0.8897 Cu

=====

Record 22
TaCu5, single point on PBEsol structure, DFT SCAN; DOS(E_F) = 2.74 states/eV/cell; DFT total energy = -142.11 eV per cell; SG = P-62m (189)
1.0
4.4650 0.0000 0.0000
-2.2325 3.8668 0.0000
0.0000 0.0000 4.3156
Ta Cu
1 5
Direct
0.0000 0.0000 0.0000 Ta
0.0000 0.6593 0.5000 Cu
0.3333 0.6667 0.0000 Cu
0.3407 0.3407 0.5000 Cu
0.6593 0.0000 0.5000 Cu
0.6667 0.3333 0.0000 Cu

=====

Record 23
TaCuTc2, single point on PBEsol structure, DFT SCAN; relative energy among the computed polymorphs = 52 meV per atom; DOS(E_F) = 2.44 states/eV/cell; DFT total energy = -151.78 eV per cell; SG = P2/m (10)
1.0
2.6272 0.0000 0.0000
0.0000 4.3350 0.0000
-0.8334 0.0000 5.0509
Ta Cu Tc
1 1 2
Direct
0.0000 0.0000 0.0000 Ta
0.5000 0.0000 0.5000 Cu
0.2358 0.5000 0.7388 Tc
0.7642 0.5000 0.2612 Tc

=====

Record 24
TaCuTc2, single point on PBEsol structure, DFT SCAN; relative energy among the computed polymorphs = 92 meV per atom; DOS(E_F) = 4.89 states/eV/cell; DFT total energy = -151.62 eV per cell; SG = Fm-3m (225)
1.0
0.0000 3.0574 3.0574
3.0574 0.0000 3.0574
3.0574 3.0574 0.0000
Ta Cu Tc
1 1 2
Direct
0.0000 0.0000 0.0000 Ta
0.5000 0.5000 0.5000 Cu
0.2500 0.2500 0.2500 Tc
0.7500 0.7500 0.7500 Tc

=====

Record 25
TaCu2Tc, single point on PBEsol structure, DFT SCAN; relative energy among the computed polymorphs = 0 meV per atom; DOS(E_F) = 1.40 states/eV/cell; DFT total energy = -132.12 eV per cell; SG = P4/mmm (123)
1.0
3.6402 0.0000 0.0000
0.0000 3.6402 0.0000
0.0000 0.0000 4.0793
Ta Cu Tc
1 2 1
Direct
0.0000 0.0000 0.0000 Ta
0.0000 0.5000 0.5000 Cu
0.5000 0.0000 0.5000 Cu
0.5000 0.5000 0.0000 Tc

=====

Record 26
TaCuTc2, single point on PBEsol structure, DFT SCAN; relative energy among the computed polymorphs = 30 meV per atom; DOS(E_F) = 2.66 states/eV/cell; DFT total energy = -151.87 eV per cell; SG = Pmm2 (25)
1.0
2.8113 0.0000 0.0000
0.0000 3.7981 0.0000
0.0000 0.0000 5.3696
Ta Cu Tc
1 1 2
Direct
0.0000 0.0000 0.0000 Ta
0.5000 0.5000 0.7521 Cu
0.0000 0.0000 0.4923 Tc
0.5000 0.5000 0.2730 Tc

=====

Record 27
Ta2CuTc, single point on PBEsol structure, DFT SCAN; DOS(E_F) = 2.33 states/eV/cell; DFT total energy = -183.57 eV per cell; SG = Cmmm (65)
1.0
1.6080 -2.2268 0.0000
1.6080 2.2268 0.0000
0.0000 0.0000 8.5360
Ta Cu Tc
2 1 1
Direct
0.0000 0.0000 0.2471 Ta
0.0000 0.0000 0.7529 Ta
0.5000 0.5000 0.0000 Cu
0.5000 0.5000 0.5000 Tc

=====

Record 28
TaCuTc2, single point on PBEsol structure, DFT SCAN; relative energy among the computed polymorphs = 0 meV per atom; DOS(E_F) = 2.68 states/eV/cell; DFT total energy = -151.99 eV per cell; SG = I-4m2 (119)
1.0
-1.9234 1.9234 3.8405
1.9234 -1.9234 3.8405
1.9234 1.9234 -3.8405
Ta Cu Tc
1 1 2
Direct
0.0000 0.0000 0.0000 Ta
0.2500 0.7500 0.5000 Cu
0.5000 0.5000 0.0000 Tc
0.7500 0.2500 0.5000 Tc

=====

Record 29
TaCu2Tc, single point on PBEsol structure, DFT SCAN; relative energy among the computed polymorphs = 283 meV per atom; DOS(E_F) = 3.71 states/eV/cell; DFT total energy = -130.98 eV per cell; SG = Fm-3m (225)
1.0
0.0000 3.0043 3.0043
3.0043 0.0000 3.0043
3.0043 3.0043 0.0000
Ta Cu Tc
1 2 1
Direct
0.0000 0.0000 0.0000 Ta
0.2500 0.2500 0.2500 Cu
0.7500 0.7500 0.7500 Cu
0.5000 0.5000 0.5000 Tc

=====

Record 30
Ta4CuTe, single point on PBEsol structure, DFT SCAN; DOS(E_F) = 5.47 states/eV/cell; energy relative to the elements, uncorrected = 0.6486 eV/atom; DFT total energy = -314.89 eV per cell; SG = F-43m (216)
1.0
0.0000 3.8375 3.8375
3.8375 0.0000 3.8375
3.8375 3.8375 0.0000
Ta Cu Te
4 1 1
Direct
0.1236 0.1236 0.1236 Ta
0.1236 0.1236 0.6292 Ta
0.1236 0.6292 0.1236 Ta
0.6292 0.1236 0.1236 Ta
0.7500 0.7500 0.7500 Cu
0.5000 0.5000 0.5000 Te